(1)
Here is an optimized crystal structure of MgNiGe2Mo from Alexandria via LeMat-Bulk. Energies are from PBE.

Cell lengths 4.7442, 4.7442, 4.1585 Å; angles 90.00, 90.00, 90.00 degrees
Positions (direct):
Mg 0.0000 0.0000 0.0000
Ni 0.0000 0.0000 0.5000
Ge 0.0000 0.5000 0.0000
Ge 0.5000 0.0000 0.0000
Mo 0.5000 0.5000 0.5000

SG ... P4/mmm (123)

=====

(2)
Here is an optimized crystal structure of Mg2NiGeMo from Alexandria via LeMat-Bulk. Energies are from PBE.

Cell lengths 4.9210, 4.9210, 4.3217 Å; angles 90.00, 90.00, 90.00 degrees
Positions (direct):
Mg 0.0000 0.5000 0.0000
Mg 0.5000 0.0000 0.0000
Ni 0.0000 0.0000 0.5000
Ge 0.0000 0.0000 0.0000
Mo 0.5000 0.5000 0.5000

SG ... P4/mmm (123)

=====

Number 1: energy relative to the elements 7.05 eV/f.u., total magnetization 0.00 Bohr magnetons per cell. Number 2: energy relative to the elements 4.48 eV/f.u., total magnetization 3.39 Bohr magnetons per cell.